# 1
## ZnTePdI (PBE-GGA)

Data for a geometry-optimized ZnTePdI structure.

size of the total moment: 0.00 μB/cell
E: -3.016 eV/atom
uncorrected formation energy: -0.226 eV/atom

a = 4.3984 Å, b = 4.3426 Å, c = 5.8355 Å
α = 90.00°, β = 91.80°, γ = 90.00°
Closest atoms and distances in Å follow each position.
Atoms (fractional coordinates):
Zn1 0.0000 0.0000 0.0000  2 Pd 2.62, 2 Te 2.70, 1 I 2.85
Te1 0.6373 0.5000 0.0285  2 Pd 2.64-2.68, 2 Zn 2.70
Pd1 0.1323 0.5000 0.7711  2 Zn 2.62, 2 Te 2.64-2.68, 2 I 2.83
I1 0.2115 0.0000 0.4665  2 Pd 2.83, 1 Zn 2.85

=====

# 2
## ZnTePdI (PBE-GGA)

Data for a geometry-optimized ZnTePdI structure.

size of the total moment: 0.00 μB/cell
E: -3.008 eV/atom
uncorrected formation energy: -0.219 eV/atom

a = 4.0479 Å, b = 4.6562 Å, c = 6.9793 Å
α = 78.21°, β = 89.74°, γ = 64.26°
Closest atoms and distances in Å follow each position.
Atoms (fractional coordinates):
Zn1 0.0000 0.0000 0.0000  3 Pd 2.56-2.71, 3 Te 2.76-2.85, 1 I 2.76
Te1 0.3299 0.3364 0.1625  3 Zn 2.76-2.85, 2 Pd 2.77
Pd1 0.6876 0.6273 0.9122  3 Zn 2.56-2.71, 2 Te 2.77, 1 I 2.86
I1 0.0665 0.8778 0.6269  1 Zn 2.76, 2 Pd 2.86-2.87

=====

# 3
## ZnTePdI (PBE-GGA)

Data for a geometry-optimized ZnTePdI structure.

size of the total moment: 0.00 μB/cell
E: -2.962 eV/atom
uncorrected formation energy: -0.172 eV/atom

a = 4.4569 Å, b = 4.4569 Å, c = 7.1603 Å
α = 99.22°, β = 99.22°, γ = 53.72°
Closest atoms and distances in Å follow each position.
Atoms (fractional coordinates):
Zn1 0.0000 0.0000 0.0000  3 Te 2.64-2.75, 1 I 2.70
Te1 0.7197 0.7197 0.1500  3 Zn 2.64-2.75, 2 Pd 2.73
Pd1 0.3138 0.3138 0.4039  2 Te 2.73, 2 I 2.77
I1 0.9910 0.9910 0.6217  1 Zn 2.70, 2 Pd 2.77

=====

# 4
## ZnTePdI (PBE-GGA)

Data for a geometry-optimized ZnTePdI structure.

size of the total moment: 0.00 μB/cell
E: -3.056 eV/atom
uncorrected formation energy: -0.266 eV/atom

a = 4.1290 Å, b = 4.3969 Å, c = 8.1738 Å
α = 94.62°, β = 92.83°, γ = 116.98°
Closest atoms and distances in Å follow each position.
Atoms (fractional coordinates):
Zn1 0.0000 0.0000 0.0000  2 I 2.63-2.73, 1 Te 2.63, 2 Pd 2.72-2.89
Te1 0.8158 0.9352 0.3039  3 Pd 2.59-2.64, 1 Zn 2.63
Pd1 0.1245 0.5594 0.2119  3 Te 2.59-2.64, 2 Zn 2.72-2.89
I1 0.4546 0.9815 0.7905  2 Zn 2.63-2.73

=====

# 5
## ZnTePdI (PBE-GGA)

Data for a geometry-optimized ZnTePdI structure.

size of the total moment: 0.00 μB/cell
E: -3.089 eV/atom
uncorrected formation energy: -0.299 eV/atom

a = 4.2603 Å, b = 4.2603 Å, c = 7.4622 Å
α = 94.76°, β = 94.76°, γ = 57.64°
Closest atoms and distances in Å follow each position.
Atoms (fractional coordinates):
Zn1 0.0000 0.0000 0.0000  3 Pd 2.58-2.64, 2 I 2.81
Te1 0.3161 0.3161 0.7157  3 Pd 2.65-2.77
Pd1 0.6677 0.6677 0.8704  3 Zn 2.58-2.64, 3 Te 2.65-2.77, 1 I 2.88
I1 0.6034 0.6034 0.2452  2 Zn 2.81, 1 Pd 2.88

=====

# 6
## ZnTePdI (PBE-GGA)

Data for a geometry-optimized ZnTePdI structure.

size of the total moment: 0.00 μB/cell
E: -3.011 eV/atom
uncorrected formation energy: -0.222 eV/atom

a = 8.0690 Å, b = 8.0690 Å, c = 3.8926 Å
α = 93.67°, β = 93.67°, γ = 27.95°
Closest atoms and distances in Å follow each position.
Atoms (fractional coordinates):
Zn1 0.0000 0.0000 0.0000  2 I 2.60-2.71, 1 Te 2.64, 2 Pd 2.79
Te1 0.8499 0.8499 0.2706  1 Zn 2.64, 4 Pd 2.77-2.82
Pd1 0.3802 0.3802 0.7876  4 Te 2.77-2.82, 2 Zn 2.79
I1 0.1154 0.1154 0.5494  2 Zn 2.60-2.71

=====

# 7
## ZnTePdI (PBE-GGA)

Data for a geometry-optimized ZnTePdI structure.

size of the total moment: 0.00 μB/cell
E: -3.046 eV/atom
uncorrected formation energy: -0.256 eV/atom

a = 3.9669 Å, b = 3.9249 Å, c = 7.3881 Å
α = 90.00°, β = 90.12°, γ = 90.00°
Closest atoms and distances in Å follow each position.
Atoms (fractional coordinates):
Zn1 0.0000 0.0000 0.0000  2 I 2.66, 2 Pd 2.69, 2 Te 2.85-2.86
Te1 0.5032 0.0000 0.2779  4 Pd 2.80, 2 Zn 2.85-2.86
Pd1 0.0035 0.5000 0.2480  2 Zn 2.69, 4 Te 2.80
I1 0.0004 0.5000 0.7566  2 Zn 2.66

=====

# 8
## ZrTe2PdI (PBE-GGA)

Data for a geometry-optimized ZrTe2PdI structure.

size of the total moment: 1.17 μB/cell
E: -3.996 eV/atom
uncorrected formation energy: 0.319 eV/atom

a = 5.2994 Å, b = 5.2994 Å, c = 5.2636 Å
α = 90.00°, β = 90.00°, γ = 90.00°
Closest atoms and distances in Å follow each position.
Atoms (fractional coordinates):
Zr1 0.0000 0.0000 0.0000  8 Te 3.73, 4 I 3.75
Te1 0.0000 0.5000 0.5000  2 Pd 2.65
Te2 0.5000 0.0000 0.5000  2 Pd 2.65
Pd1 0.5000 0.5000 0.5000  2 I 2.63, 4 Te 2.65
I1 0.5000 0.5000 0.0000  2 Pd 2.63

=====

Which formula does entry 8 have? ZrTe2PdI